{"formula": "Ce2VWN6", "functional": "PBE", "state": "relaxed", "lattice_angstrom": [[5.468, 0.000, 0.000], [0.000, 5.568, 0.000], [-5.467, 0.000, 7.779]], "species": ["Ce", "Ce", "Ce", "Ce", "V", "V", "W", "W", "N", "N", "N", "N", "N", "N", "N", "N", "N", "N", "N", "N"], "frac_coords": [[0.247, 0.050, 0.251], [0.247, 0.450, 0.751], [0.753, 0.550, 0.249], [0.753, 0.950, 0.749], [0.500, 0.000, 0.000], [0.500, 0.500, 0.500], [0.000, 0.000, 0.500], [0.000, 0.500, 0.000], [0.161, 0.197, 0.960], [0.161, 0.303, 0.460], [0.264, 0.701, 0.961], [0.264, 0.799, 0.461], [0.329, 0.018, 0.753], [0.329, 0.482, 0.253], [0.671, 0.518, 0.747], [0.671, 0.982, 0.247], [0.736, 0.201, 0.539], [0.736, 0.299, 0.039], [0.839, 0.697, 0.540], [0.839, 0.803, 0.040]], "raw_formation_energy_ev_per_atom": -1.07, "energy_ev_per_atom": -9.455}